A relaxed structure of Nd4Zn5Ge6. Source: the Alexandria database, functional PBE-GGA.

Lattice parameters (Å, degrees): 4.3369 18.9796 15.7218 90.00 90.00 90.00
With the nearest neighbours (Å) after each atom.
Space group Cmc2_1 (No. 36)
Symmetry-distinct sites (fractional):
Nd1 0.0000 0.0205 0.0000 [4 per cell]  7 Ge 3.12-3.24, 3 Zn 3.19-3.29
Nd2 0.0000 0.0323 0.2613 [4 per cell]  6 Ge 3.07-3.20, 5 Zn 3.09-3.18
Nd3 0.0000 0.1694 0.8031 [4 per cell]  6 Ge 3.03-3.11, 1 Zn 3.37
Nd4 0.0000 0.1767 0.4464 [4 per cell]  6 Ge 2.98-3.06
Zn1 0.0000 0.1513 0.1272 [4 per cell]  4 Ge 2.52-2.67, 1 Zn 2.81
Zn2 0.0000 0.2995 0.1255 [4 per cell]  4 Ge 2.59-2.75, 2 Zn 2.70-2.81
Zn3 0.0000 0.3453 0.7745 [4 per cell]  4 Ge 2.54-2.80
Zn4 0.0000 0.3503 0.4803 [4 per cell]  4 Ge 2.54-2.81
Zn5 0.0000 0.4332 0.1841 [4 per cell]  4 Ge 2.55-2.71, 1 Zn 2.70
Ge1 0.0000 0.1119 0.6188 [4 per cell]  4 Zn 2.55-2.75
Ge2 0.0000 0.2194 0.9896 [4 per cell]  4 Zn 2.52-2.62
Ge3 0.0000 0.2241 0.2627 [4 per cell]  4 Zn 2.54-2.59
Ge4 0.0000 0.4312 0.6299 [4 per cell]  5 Zn 2.67-2.81
Ge5 0.0000 0.4321 0.9049 [4 per cell]  1 Ge 2.55, 1 Zn 2.63
Ge6 0.0000 0.4404 0.3544 [4 per cell]  1 Ge 2.55, 2 Zn 2.62-2.68

---

A relaxed structure of NdZrGe2. Source: the Alexandria database, functional PBE-GGA.

Lattice parameters (Å, degrees): 4.0346 4.0346 20.4016 90.00 90.00 120.00
With the nearest neighbours (Å) after each atom.
Space group R-3m (No. 166, hexagonal axes)
Symmetry-distinct sites (fractional):
Nd1 0.0000 0.0000 0.0000 [3 per cell]  6 Ge 3.00
Zr1 0.0000 0.0000 0.5000 [3 per cell]  6 Ge 2.78
Ge1 0.0000 0.0000 0.2408 [6 per cell]  3 Zr 2.78, 3 Nd 3.00

---

A relaxed structure of Nd5ZrGe4. Source: the Alexandria database, functional PBE-GGA.

Lattice parameters (Å, degrees): 18.3202 4.1952 8.0022 90.00 106.33 90.00
With the nearest neighbours (Å) after each atom.
Space group C2/m (No. 12)
Symmetry-distinct sites (fractional):
Nd1 0.0000 0.0000 0.0000 [2 per cell]  4 Ge 2.99
Nd2 0.1663 0.5000 0.8554 [4 per cell]  3 Ge 2.91
Nd3 0.1666 0.5000 0.3432 [4 per cell]  4 Ge 2.95-3.00
Zr1 0.0000 0.0000 0.5000 [2 per cell]  6 Ge 2.81-2.89
Ge1 0.0009 0.5000 0.7346 [4 per cell]  2 Zr 2.81, 4 Nd 2.91-2.99
Ge2 0.1643 0.0000 0.6018 [4 per cell]  1 Zr 2.89, 5 Nd 2.91-3.00

---

A relaxed structure of Nd2ZrGe3. Source: the Alexandria database, functional PBE-GGA.

Lattice parameters (Å, degrees): 4.1748 5.8522 12.3483 90.00 90.00 90.00
With the nearest neighbours (Å) after each atom.
Space group Immm (No. 71)
Symmetry-distinct sites (fractional):
Nd1 0.0000 0.0000 0.1717 [4 per cell]  6 Ge 2.94-3.05
Zr1 0.0000 0.0000 0.5000 [2 per cell]  6 Ge 2.77-2.93
Ge1 0.0000 0.5000 0.1479 [4 per cell]  2 Zr 2.77, 4 Nd 2.94-3.05
Ge2 0.0000 0.5000 0.5000 [2 per cell]  2 Zr 2.93, 4 Nd 2.98

---

A relaxed structure of Ni5Ge3. Source: the Alexandria database, functional PBE-GGA.

- excess energy over the best structure of this formula in the dataset (meV/atom) = 82

Lattice parameters (Å, degrees): 6.5182 7.7660 3.8515 90.00 90.00 90.00
With the nearest neighbours (Å) after each atom.
Space group Cmmm (No. 65)
Symmetry-distinct sites (fractional):
Ni1 0.0000 0.0000 0.0000 [2 per cell]  4 Ge 2.47, 8 Ni 2.53-2.73
Ni2 0.2028 0.5000 0.5000 [4 per cell]  4 Ge 2.34-2.48
Ni3 0.2500 0.2500 0.0000 [4 per cell]  6 Ge 2.53-2.55, 6 Ni 2.53-2.75
Ge1 0.0000 0.1999 0.5000 [4 per cell]  10 Ni 2.47-2.68
Ge2 0.0000 0.5000 0.0000 [2 per cell]  8 Ni 2.34-2.53

---

A relaxed structure of Ni8Ge. Source: the Alexandria database, functional PBE-GGA.

Lattice parameters (Å, degrees): 7.4868 7.4868 3.5637 90.00 90.00 90.00
With the nearest neighbours (Å) after each atom.
Space group I4/mmm (No. 139)
Symmetry-distinct sites (fractional):
Ni1 0.0000 0.3349 0.0000 [8 per cell]  11 Ni 2.47-2.51, 1 Ge 2.51
Ni2 0.1673 0.1673 0.5000 [8 per cell]  10 Ni 2.49-2.51, 2 Ge 2.51
Ge1 0.0000 0.0000 0.0000 [2 per cell]  12 Ni 2.51

---

A relaxed structure of Ni3Ge. Source: the Alexandria database, functional PBE-GGA.

Lattice parameters (Å, degrees): 2.5973 2.6673 7.3211 90.00 90.00 90.00
With the nearest neighbours (Å) after each atom.
Space group Pmm2 (No. 25)
Symmetry-distinct sites (fractional):
Ni1 0.0000 0.0000 0.0000 [1 per cell]  2 Ge 2.40, 8 Ni 2.48-2.67
Ni2 0.0000 0.5000 0.4937 [1 per cell]  6 Ni 2.45-2.67, 4 Ge 2.45
Ni3 0.5000 0.5000 0.7768 [1 per cell]  10 Ni 2.45-2.67
Ge1 0.5000 0.0000 0.2754 [1 per cell]  6 Ni 2.40-2.45, 4 Ge 2.60-2.67

---

A relaxed structure of Ni2Ge. Source: the Alexandria database, functional PBE-GGA.

Lattice parameters (Å, degrees): 5.1253 3.8366 7.2914 90.00 90.00 90.00
With the nearest neighbours (Å) after each atom.
Space group Pnma (No. 62)
Symmetry-distinct sites (fractional):
Ni1 0.0431 0.2500 0.2096 [4 per cell]  5 Ge 2.42-2.64, 5 Ni 2.63-2.65
Ni2 0.1731 0.2500 0.5611 [4 per cell]  4 Ge 2.37-2.40, 3 Ni 2.64-2.65
Ge1 0.2104 0.2500 0.8877 [4 per cell]  9 Ni 2.37-2.64

---

A relaxed structure of NiGe3. Source: the Alexandria database, functional PBE-GGA.

Lattice parameters (Å, degrees): 2.9941 11.3457 3.9675 90.00 90.00 90.00
With the nearest neighbours (Å) after each atom.
Space group Imm2 (No. 44)
Symmetry-distinct sites (fractional):
Ni1 0.0000 0.0000 0.0000 [2 per cell]  8 Ge 2.48-2.57
Ge1 0.0000 0.3154 0.4978 [4 per cell]  2 Ni 2.57, 1 Ge 2.88
Ge2 0.0000 0.5000 0.9995 [2 per cell]  4 Ni 2.48-2.49

---

A relaxed structure of Ni5Ge3. Source: the Alexandria database, functional PBE-GGA.

- excess energy over the best structure of this formula in the dataset (meV/atom) = 0

Lattice parameters (Å, degrees): 10.8585 6.7495 6.3794 90.00 121.01 90.00
With the nearest neighbours (Å) after each atom.
Space group C2/c (No. 15)
Symmetry-distinct sites (fractional):
Ni1 0.0735 0.2438 0.1466 [8 per cell]  4 Ge 2.40-2.55, 6 Ni 2.53-2.68
Ni2 0.1733 0.4138 0.5856 [8 per cell]  5 Ge 2.36-2.59, 4 Ni 2.57-2.60
Ni3 0.2500 0.2500 0.0000 [4 per cell]  4 Ge 2.48-2.53, 6 Ni 2.53-2.58
Ge1 0.0000 0.3941 0.7500 [4 per cell]  8 Ni 2.38-2.59
Ge2 0.1502 0.0656 0.5473 [8 per cell]  7 Ni 2.36-2.55

---

A relaxed structure of Ni7Ge3. Source: the Alexandria database, functional PBE-GGA.

Lattice parameters (Å, degrees): 12.8953 3.6896 5.0843 90.00 103.44 90.00
With the nearest neighbours (Å) after each atom.
Space group C2/m (No. 12)
Symmetry-distinct sites (fractional):
Ni1 0.0000 0.0000 0.0000 [2 per cell]  4 Ge 2.40-2.54, 8 Ni 2.58-2.59
Ni2 0.0881 0.5000 0.3332 [4 per cell]  4 Ge 2.42-2.56, 8 Ni 2.56-2.65
Ni3 0.1148 0.5000 0.8499 [4 per cell]  5 Ge 2.45-2.74, 7 Ni 2.56-2.59
Ni4 0.2040 0.0000 0.6318 [4 per cell]  5 Ge 2.40-2.69, 5 Ni 2.56-2.65
Ge1 0.0000 0.0000 0.5000 [2 per cell]  8 Ni 2.42-2.56
Ge2 0.1906 0.0000 0.1517 [4 per cell]  9 Ni 2.40-2.56

---

A relaxed structure of Ni2Ge. Source: the Alexandria database, functional PBE-GGA.

Lattice parameters (Å, degrees): 3.5930 3.5014 5.9303 90.00 97.46 90.00
With the nearest neighbours (Å) after each atom.
Space group P2_1/m (No. 11)
Symmetry-distinct sites (fractional):
Ni1 0.1681 0.2500 0.1554 [2 per cell]  5 Ge 2.36-2.56
Ni2 0.2509 0.7500 0.4969 [2 per cell]  4 Ge 2.41-2.42, 6 Ni 2.50-2.66
Ge1 0.3107 0.2500 0.7775 [2 per cell]  9 Ni 2.36-2.56

---

A relaxed structure of Ni5Ge6. Source: the Alexandria database, functional PBE-GGA.

Lattice parameters (Å, degrees): 4.9852 10.6839 6.6338 90.00 107.66 90.00
With the nearest neighbours (Å) after each atom.
Space group C2/m (No. 12)
Symmetry-distinct sites (fractional):
Ni1 0.0000 0.0000 0.0000 [2 per cell]  6 Ge 2.42-2.45
Ni2 0.0000 0.1912 0.5000 [4 per cell]  6 Ge 2.44-2.46
Ni3 0.0000 0.3831 0.0000 [4 per cell]  6 Ge 2.43-2.54, 1 Ni 2.50
Ge1 0.1827 0.0000 0.7007 [4 per cell]  5 Ni 2.42-2.47
Ge2 0.1997 0.1859 0.2062 [8 per cell]  5 Ni 2.43-2.54

---

A relaxed structure of Ni5Ge4. Source: the Alexandria database, functional PBE-GGA.

Lattice parameters (Å, degrees): 9.2010 9.2010 3.0738 90.00 90.00 90.00
With the nearest neighbours (Å) after each atom.
Space group I4/m (No. 87)
Symmetry-distinct sites (fractional):
Ni1 0.0000 0.0000 0.0000 [2 per cell]  4 Ge 2.31
Ni2 0.0857 0.6282 0.0000 [8 per cell]  4 Ge 2.39-2.53, 4 Ni 2.53
Ge1 0.1294 0.2157 0.0000 [8 per cell]  5 Ni 2.31-2.53

---

A relaxed structure of Ni17Ge2. Source: the Alexandria database, functional PBE-GGA.

Lattice parameters (Å, degrees): 8.0087 8.0087 12.3315 90.00 90.00 120.00
With the nearest neighbours (Å) after each atom.
Space group R-3m (No. 166, hexagonal axes)
Symmetry-distinct sites (fractional):
Ni1 0.0000 0.0000 0.0968 [6 per cell]  7 Ni 2.39-2.51, 1 Ge 2.56
Ni2 0.0000 0.3264 0.0000 [18 per cell]  8 Ni 2.44-2.61, 2 Ge 2.72
Ni3 0.0000 0.5000 0.5000 [9 per cell]  10 Ni 2.33-2.47
Ni4 0.0042 0.5021 0.1641 [18 per cell]  9 Ni 2.28-2.51
Ge1 0.0000 0.0000 0.3042 [6 per cell]  7 Ni 2.56-2.72

---

A relaxed structure of Ni3Ge. Source: the Alexandria database, functional PBE-GGA.

Lattice parameters (Å, degrees): 3.6513 3.6513 6.8685 90.00 90.00 90.00
With the nearest neighbours (Å) after each atom.
Space group I4/mmm (No. 139)
Symmetry-distinct sites (fractional):
Ni1 0.0000 0.0000 0.0000 [2 per cell]  8 Ni 2.51, 4 Ge 2.58
Ni2 0.0000 0.5000 0.2500 [4 per cell]  4 Ge 2.51, 8 Ni 2.51-2.58
Ge1 0.0000 0.0000 0.5000 [2 per cell]  12 Ni 2.51-2.58

---

A relaxed structure of Ni7Ge. Source: the Alexandria database, functional PBE-GGA.

- excess energy over the best structure of this formula in the dataset (meV/atom) = 0

Lattice parameters (Å, degrees): 7.0962 7.0962 7.0962 90.00 90.00 90.00
With the nearest neighbours (Å) after each atom.
Space group Fm-3m (No. 225)
Symmetry-distinct sites (fractional):
Ni1 0.0000 0.0000 0.0000 [4 per cell]  12 Ni 2.51
Ni2 0.0000 0.2500 0.2500 [24 per cell]  2 Ge 2.51, 10 Ni 2.51
Ge1 0.0000 0.0000 0.5000 [4 per cell]  12 Ni 2.51

---

A relaxed structure of Ni8Ge3. Source: the Alexandria database, functional PBE-GGA.

Lattice parameters (Å, degrees): 7.6463 7.6463 8.7423 90.00 90.00 120.00
With the nearest neighbours (Å) after each atom.
Space group R-3 (No. 148, hexagonal axes)
Symmetry-distinct sites (fractional):
Ni1 0.0000 0.0000 0.1449 [6 per cell]  3 Ge 2.22
Ni2 0.0066 0.2039 0.3908 [18 per cell]  2 Ge 2.30-2.48, 3 Ni 2.45-2.46
Ge1 0.0000 0.5000 0.5000 [9 per cell]  6 Ni 2.22-2.48

---

A relaxed structure of Ni2Ge. Source: the Alexandria database, functional PBE-GGA.

Lattice parameters (Å, degrees): 4.0834 4.6436 4.7468 63.09 75.90 64.82
With the nearest neighbours (Å) after each atom.
Space group P-1 (No. 2)
Symmetry-distinct sites (fractional):
Ni1 0.0687 0.2184 0.2299 [2 per cell]  4 Ge 2.44-2.53, 5 Ni 2.47-2.63
Ni2 0.3952 0.5978 0.2197 [2 per cell]  4 Ge 2.36-2.51, 5 Ni 2.47-2.63
Ge1 0.2597 0.1363 0.7211 [2 per cell]  8 Ni 2.36-2.53

---

A relaxed structure of Ni13Ge2. Source: the Alexandria database, functional PBE-GGA.

Lattice parameters (Å, degrees): 6.3141 6.3141 17.5851 90.00 90.00 120.00
With the nearest neighbours (Å) after each atom.
Space group R-3m (No. 166, hexagonal axes)
Symmetry-distinct sites (fractional):
Ni1 0.0000 0.0000 0.0000 [3 per cell]  2 Ge 2.37, 6 Ni 2.41
Ni2 0.0703 0.5351 0.4257 [18 per cell]  2 Ge 2.33-2.36, 5 Ni 2.37-2.49
Ni3 0.0851 0.5425 0.2912 [18 per cell]  6 Ni 2.35-2.42
Ge1 0.0000 0.0000 0.1348 [6 per cell]  7 Ni 2.33-2.37

---

Number 1: VASP energy -4.11 eV/atom, DOS at the Fermi energy 0.095 states/eV per atom, calculated formation energy -0.572 eV per atom. Number 2: VASP energy -6.35 eV/atom, DOS at the Fermi energy 0.604 states/eV per atom, calculated formation energy -0.712 eV per atom. Number 3: VASP energy -5.63 eV/atom, DOS at the Fermi energy 0.785 states/eV per atom, calculated formation energy -0.541 eV per atom. Number 4: VASP energy -5.99 eV/atom, DOS at the Fermi energy 0.627 states/eV per atom, calculated formation energy -0.669 eV per atom. Number 5: VASP energy -5.58 eV/atom, DOS at the Fermi energy 0.528 states/eV per atom, calculated formation energy -0.233 eV per atom. Number 6: VASP energy -5.75 eV/atom, DOS at the Fermi energy 1.412 states/eV per atom, calculated formation energy -0.101 eV per atom. Number 7: VASP energy -5.35 eV/atom, DOS at the Fermi energy 1.671 states/eV per atom, calculated formation energy 0.136 eV per atom. Number 8: VASP energy -5.70 eV/atom, DOS at the Fermi energy 0.457 states/eV per atom, calculated formation energy -0.306 eV per atom. Number 9: VASP energy -4.82 eV/atom, DOS at the Fermi energy 0.533 states/eV per atom, calculated formation energy 0.091 eV per atom. Number 10: VASP energy -5.66 eV/atom, DOS at the Fermi energy 0.546 states/eV per atom, calculated formation energy -0.316 eV per atom. Number 11: VASP energy -5.70 eV/atom, DOS at the Fermi energy 0.530 states/eV per atom, calculated formation energy -0.266 eV per atom. Number 12: VASP energy -5.67 eV/atom, DOS at the Fermi energy 0.377 states/eV per atom, calculated formation energy -0.281 eV per atom. Number 13: VASP energy -5.23 eV/atom, DOS at the Fermi energy 0.648 states/eV per atom, calculated formation energy -0.082 eV per atom. Number 14: VASP energy -5.31 eV/atom, DOS at the Fermi energy 0.573 states/eV per atom, calculated formation energy -0.044 eV per atom. Number 15: VASP energy -5.51 eV/atom, DOS at the Fermi energy 1.528 states/eV per atom, calculated formation energy 0.153 eV per atom. Number 16: VASP energy -5.74 eV/atom, DOS at the Fermi energy 0.764 states/eV per atom, calculated formation energy -0.246 eV per atom. Number 17: VASP energy -5.76 eV/atom, DOS at the Fermi energy 1.472 states/eV per atom, calculated formation energy -0.121 eV per atom. Number 18: VASP energy -5.29 eV/atom, DOS at the Fermi energy 0.892 states/eV per atom, calculated formation energy 0.172 eV per atom. Number 19: VASP energy -5.62 eV/atom, DOS at the Fermi energy 0.287 states/eV per atom, calculated formation energy -0.229 eV per atom. Number 20: VASP energy -5.36 eV/atom, DOS at the Fermi energy 1.511 states/eV per atom, calculated formation energy 0.266 eV per atom.